TmPa2NbN4: relaxed, PBE.

Unit cell a=3.4146 b=5.8550 c=5.8145 alpha=109.71 beta=90.00 gamma=90.00
Closest atoms and distances in Å follow each position.
Positions (direct):
N (0.5000, 0.7599, 0.7636)  2 Nb 2.34, 1 Tm 2.37, 3 Pa 2.40-2.45
N (0.5000, 0.2401, 0.2364)  2 Nb 2.34, 1 Tm 2.37, 3 Pa 2.40-2.45
Tm (0.5000, 0.5000, 0.0000)  6 N 2.37-2.38
Pa (0.0000, 0.5000, 0.5000)  6 N 2.43-2.45
N (0.0000, 0.7521, 0.2420)  1 Nb 2.34, 2 Tm 2.38, 3 Pa 2.41-2.43
Nb (0.0000, 0.0000, 0.0000)  6 N 2.34
N (0.0000, 0.2479, 0.7580)  1 Nb 2.34, 2 Tm 2.38, 3 Pa 2.41-2.43
Pa (0.5000, 0.0000, 0.5000)  6 N 2.40-2.41

Results
Formation energy without anion corrections, eV per atom: -1.501
Calculated density, kg/m³: 11835

HIr2S: relaxed, PBE.

Unit cell a=4.0311 b=4.0311 c=4.0311 alpha=60.00 beta=60.00 gamma=60.00
Closest atoms and distances in Å follow each position.
Positions (direct):
Ir (0.2500, 0.2500, 0.2500)  4 S 2.47, 4 H 2.47
H (0.0000, 0.0000, 0.0000)  8 Ir 2.47
S (0.5000, 0.5000, 0.5000)  8 Ir 2.47
Ir (0.7500, 0.7500, 0.7500)  4 S 2.47, 4 H 2.47

Results
Calculated density, kg/m³: 14968
Relative energy among the computed polymorphs, eV per atom: 0.488

TbU2FeC4: relaxed, PBE.

Unit cell a=3.5195 b=5.8517 c=11.5147 alpha=90.00 beta=90.00 gamma=107.50
Closest atoms and distances in Å follow each position.
Positions (direct):
C (0.7413, 0.4826, 0.8786)  1 Fe 1.85
Fe (0.1599, 0.3198, 0.2500)  4 C 1.85-2.02
C (0.4292, 0.8583, 0.7500)  2 Fe 2.02
C (0.5708, 0.1417, 0.2500)  2 Fe 2.02
Tb (0.8956, 0.7912, 0.2500)  6 C 2.63-2.76
Tb (0.1044, 0.2088, 0.7500)  6 C 2.63-2.76
C (0.2587, 0.5174, 0.3786)  1 Fe 1.85
Fe (0.8401, 0.6802, 0.7500)  4 C 1.85-2.02
C (0.0000, 0.0000, 0.5000)  4 U 2.36
C (0.2587, 0.5174, 0.1214)  1 Fe 1.85
U (0.3697, 0.7394, 0.9491)  6 C 2.34-2.41
C (0.7413, 0.4826, 0.6214)  1 Fe 1.85
U (0.6303, 0.2606, 0.0509)  6 C 2.34-2.41
U (0.3697, 0.7394, 0.5509)  6 C 2.34-2.41
C (0.0000, 0.0000, 0.0000)  4 U 2.36
U (0.6303, 0.2606, 0.4491)  6 C 2.34-2.41

Results
Energy of formation from the pure elements, eV per atom: -0.091
Calculated density, kg/m³: 10850

ReTe3Ru: relaxed, PBE.

Unit cell a=5.1528 b=5.1528 c=5.1528 alpha=90.00 beta=90.00 gamma=90.00
Closest atoms and distances in Å follow each position.
Positions (direct):
Re (0.5000, 0.5000, 0.5000)  12 Te 3.64
Te (0.0000, 0.0000, 0.5000)  2 Ru 2.58
Ru (0.0000, 0.0000, 0.0000)  6 Te 2.58
Te (0.0000, 0.5000, 0.0000)  2 Ru 2.58
Te (0.5000, 0.0000, 0.0000)  2 Ru 2.58

Results
Formation energy without anion corrections, eV per atom: 1.426
Calculated density, kg/m³: 8133
Relative energy among the computed polymorphs, eV per atom: 0.000

Nd4Er3Tm2: relaxed, PBE.

Unit cell a=5.9977 b=10.2136 c=10.2136 alpha=69.87 beta=84.02 gamma=84.02
Closest atoms and distances in Å follow each position.
Positions (direct):
Er (0.5793, 0.6787, 0.9817)  7 Nd 3.40-3.56, 1 Tm 3.42, 1 Er 3.75
Er (0.0793, 0.9817, 0.6787)  7 Nd 3.40-3.56, 1 Tm 3.42, 1 Er 3.75
Nd (0.9544, 0.1771, 0.9512)  4 Er 3.40-3.56, 3 Nd 3.40-3.48, 1 Tm 3.64
Tm (0.7989, 0.2921, 0.5044)  3 Nd 3.28-3.64, 1 Tm 3.38, 4 Er 3.41-3.54
Tm (0.2011, 0.7079, 0.4956)  3 Nd 3.28-3.64, 1 Tm 3.38, 4 Er 3.41-3.54
Nd (0.4544, 0.9512, 0.1771)  4 Er 3.40-3.56, 3 Nd 3.40-3.48, 1 Tm 3.64
Er (0.7500, 0.6487, 0.3513)  4 Nd 3.40-3.80, 6 Tm 3.41-3.54
Tm (0.7011, 0.4956, 0.7079)  3 Nd 3.28-3.64, 1 Tm 3.38, 4 Er 3.41-3.54
Nd (0.0456, 0.8229, 0.0488)  4 Er 3.40-3.56, 3 Nd 3.40-3.48, 1 Tm 3.64
Nd (0.6139, 0.8369, 0.6153)  2 Tm 3.28-3.43, 4 Er 3.40-3.52, 2 Nd 3.48-3.58
Er (0.9207, 0.0183, 0.3213)  7 Nd 3.40-3.56, 1 Tm 3.42, 1 Er 3.75
Nd (0.1139, 0.6153, 0.8369)  2 Tm 3.28-3.43, 4 Er 3.40-3.52, 2 Nd 3.48-3.58
Er (0.4207, 0.3213, 0.0183)  7 Nd 3.40-3.56, 1 Tm 3.42, 1 Er 3.75
Er (0.2500, 0.3513, 0.6487)  4 Nd 3.40-3.80, 6 Tm 3.41-3.54
Nd (0.8861, 0.3847, 0.1631)  2 Tm 3.28-3.43, 4 Er 3.40-3.52, 2 Nd 3.48-3.58
Nd (0.5456, 0.0488, 0.8229)  4 Er 3.40-3.56, 3 Nd 3.40-3.48, 1 Tm 3.64
Tm (0.2989, 0.5044, 0.2921)  3 Nd 3.28-3.64, 1 Tm 3.38, 4 Er 3.41-3.54
Nd (0.3861, 0.1631, 0.3847)  2 Tm 3.28-3.43, 4 Er 3.40-3.52, 2 Nd 3.48-3.58

Results
Energy of formation from the pure elements, eV per atom: 0.092
Calculated density, kg/m³: 8074
Relative energy among the computed polymorphs, eV per atom: 0.046

BeNbH: relaxed, PBE.

Unit cell a=3.9402 b=3.9402 c=4.9519 alpha=90.00 beta=90.00 gamma=120.00
Closest atoms and distances in Å follow each position.
Positions (direct):
Nb (0.6667, 0.3333, 0.7500)  5 Be 2.27-2.48, 3 H 2.27
Nb (0.3333, 0.6667, 0.2500)  5 Be 2.27-2.48, 3 H 2.27
Be (0.3333, 0.6667, 0.7500)  5 Nb 2.27-2.48, 3 H 2.27
H (0.0000, 0.0000, 0.7500)  3 Be 2.27, 3 Nb 2.27, 2 H 2.48
H (0.0000, 0.0000, 0.2500)  3 Nb 2.27, 3 Be 2.27, 2 H 2.48
Be (0.6667, 0.3333, 0.2500)  5 Nb 2.27-2.48, 3 H 2.27

Results
Calculated density, kg/m³: 5134
Relative energy among the computed polymorphs, eV per atom: 0.991

> Number 4 is which compound?

ReTe3Ru